# 1
The following is a GGA-PBE calculation of a relaxed structure of NpSiPt, from Alexandria via LeMat-Bulk.

ΔE_f (raw): -0.612 eV/atom
symmetry: P-6m2

Cell: 4.284 4.284 3.662 Å, 90.00 90.00 120.00°
Atoms (fractional coordinates):
Np: 0.000 0.000 0.000
Si: 0.667 0.333 0.500
Pt: 0.333 0.667 0.500

---

# 2
The following is a GGA-PBE calculation of a relaxed structure of Nd4CCl2O, from Alexandria via LeMat-Bulk.

ΔE_f (raw): -1.556 eV/atom
symmetry: P2/m

Cell: 6.430 3.758 7.365 Å, 90.00 107.24 90.00°
Atoms (fractional coordinates):
Nd: 0.231 0.000 0.189
Nd: 0.268 0.500 0.809
Nd: 0.732 0.500 0.191
Nd: 0.769 0.000 0.811
C: 0.500 0.000 0.000
Cl: 0.000 0.000 0.500
Cl: 0.500 0.500 0.500
O: 0.000 0.500 0.000

---

# 3
The following is a GGA-PBE calculation of a relaxed structure of TaInNi2, from Alexandria via LeMat-Bulk.

formation energy from the elements: 0.03 eV/atom
symmetry: C2/m

Cell: 4.464 4.464 5.310 Å, 98.57 98.57 37.10°
Atoms (fractional coordinates):
Ta: 0.000 0.000 0.000
In: 0.500 0.500 0.500
Ni: 0.251 0.251 0.791
Ni: 0.749 0.749 0.209

---

# 4
The following is a GGA-PBE calculation of a relaxed structure of SnPb3N, from Alexandria via LeMat-Bulk.

ΔE_f (raw): 0.450 eV/atom
symmetry: Pm-3m
polymorph energy (0 for the lowest one): 0 meV/atom

Cell: 5.078 5.078 5.078 Å, 90.00 90.00 90.00°
Atoms (fractional coordinates):
Sn: 0.000 0.000 0.000
Pb: 0.000 0.500 0.500
Pb: 0.500 0.000 0.500
Pb: 0.500 0.500 0.000
N: 0.500 0.500 0.500

---

# 5
The following is a GGA-PBE calculation of a relaxed structure of KSn2Pb3, from Alexandria via LeMat-Bulk.

formation energy from the elements: -0.02 eV/atom
symmetry: Cmcm
polymorph energy (0 for the lowest one): 35 meV/atom

Cell: 8.283 8.283 6.377 Å, 90.00 90.00 85.21°
Atoms (fractional coordinates):
K: 0.179 0.821 0.750
K: 0.821 0.179 0.250
Sn: 0.250 0.250 0.000
Sn: 0.250 0.250 0.500
Sn: 0.750 0.750 0.000
Sn: 0.750 0.750 0.500
Pb: 0.055 0.563 0.250
Pb: 0.437 0.945 0.250
Pb: 0.452 0.548 0.250
Pb: 0.548 0.452 0.750
Pb: 0.563 0.055 0.750
Pb: 0.945 0.437 0.750

---

# 6
The following is a GGA-PBE calculation of a relaxed structure of Y2SnHg, from Alexandria via LeMat-Bulk.

formation energy from the elements: -0.60 eV/atom
symmetry: P4/mmm

Cell: 5.180 5.180 3.926 Å, 90.00 90.00 90.00°
Atoms (fractional coordinates):
Y: 0.000 0.500 0.000
Y: 0.500 0.000 0.000
Sn: 0.000 0.000 0.500
Hg: 0.500 0.500 0.500

---

# 7
The following is a GGA-PBE calculation of a relaxed structure of RbAs2OsSe, from Alexandria via LeMat-Bulk.

ΔE_f (raw): 0.166 eV/atom
symmetry: P4/mmm
polymorph energy (0 for the lowest one): 0 meV/atom

Cell: 4.749 4.749 5.833 Å, 90.00 90.00 90.00°
Atoms (fractional coordinates):
Rb: 0.000 0.000 0.000
As: 0.000 0.500 0.500
As: 0.500 0.000 0.500
Os: 0.500 0.500 0.500
Se: 0.500 0.500 0.000

---

# 8
The following is a GGA-PBE calculation of a relaxed structure of Li2LaP2, from Alexandria via LeMat-Bulk.

formation energy from the elements: -0.69 eV/atom
symmetry: P4/mbm

Cell: 7.644 7.644 3.012 Å, 90.00 90.00 90.00°
Atoms (fractional coordinates):
Li: 0.111 0.389 0.000
Li: 0.389 0.889 0.000
Li: 0.611 0.111 0.000
Li: 0.889 0.611 0.000
La: 0.000 0.000 0.000
La: 0.500 0.500 0.000
P: 0.183 0.683 0.500
P: 0.317 0.183 0.500
P: 0.683 0.817 0.500
P: 0.817 0.317 0.500

---

# 9
The following is a GGA-PBE calculation of a relaxed structure of Ce3Er13, from Alexandria via LeMat-Bulk.

formation energy from the elements: 0.04 eV/atom
symmetry: Amm2

Cell: 7.062 8.322 8.322 Å, 85.23 90.00 90.00°
Atoms (fractional coordinates):
Ce: 0.000 0.000 0.000
Ce: 0.200 0.782 0.782
Ce: 0.800 0.782 0.782
Er: 0.000 0.424 0.939
Er: 0.000 0.522 0.522
Er: 0.000 0.939 0.424
Er: 0.250 0.190 0.680
Er: 0.250 0.680 0.190
Er: 0.252 0.267 0.267
Er: 0.500 0.016 0.016
Er: 0.500 0.446 0.931
Er: 0.500 0.521 0.521
Er: 0.500 0.931 0.446
Er: 0.748 0.267 0.267
Er: 0.750 0.190 0.680
Er: 0.750 0.680 0.190

---

# 10
The following is a GGA-PBE calculation of a relaxed structure of BSbBr, from Alexandria via LeMat-Bulk.

ΔE_f (raw): 0.159 eV/atom
symmetry: P1

Cell: 3.811 6.535 7.634 Å, 99.38 94.48 98.97°
Atoms (fractional coordinates):
B: 0.000 0.000 0.000
B: 0.315 0.886 0.897
Sb: 0.191 0.114 0.293
Sb: 0.590 0.783 0.167
Br: 0.242 0.657 0.689
Br: 0.687 0.154 0.847

---

# 11
The following is a GGA-PBE calculation of a relaxed structure of BaCd2Cu2, from Alexandria via LeMat-Bulk.

formation energy from the elements: 0.11 eV/atom
symmetry: P4/mbm
polymorph energy (0 for the lowest one): 209 meV/atom

Cell: 8.218 8.218 3.371 Å, 90.00 90.00 90.00°
Atoms (fractional coordinates):
Ba: 0.000 0.000 0.000
Ba: 0.500 0.500 0.000
Cd: 0.160 0.340 0.500
Cd: 0.340 0.840 0.500
Cd: 0.660 0.160 0.500
Cd: 0.840 0.660 0.500
Cu: 0.113 0.613 0.000
Cu: 0.387 0.113 0.000
Cu: 0.613 0.887 0.000
Cu: 0.887 0.387 0.000

---

# 12
The following is a GGA-PBE calculation of a relaxed structure of Tb3Dy3Y8, from Alexandria via LeMat-Bulk.

formation energy from the elements: 0.12 eV/atom
symmetry: Immm
polymorph energy (0 for the lowest one): 0 meV/atom

Cell: 9.645 9.645 9.645 Å, 145.98 111.98 78.28°
Atoms (fractional coordinates):
Tb: 0.000 0.000 0.000
Tb: 0.181 0.681 0.500
Tb: 0.819 0.319 0.500
Dy: 0.202 0.500 0.702
Dy: 0.500 0.500 0.000
Dy: 0.798 0.500 0.298
Y: 0.120 0.278 0.842
Y: 0.238 0.896 0.342
Y: 0.436 0.278 0.158
Y: 0.445 0.104 0.342
Y: 0.555 0.896 0.658
Y: 0.564 0.722 0.842
Y: 0.762 0.104 0.658
Y: 0.880 0.722 0.158

---

Summary of calculated density in g cm⁻³
13.13, 6.60, 10.89, 9.56, 6.84, 7.83, 6.37, 4.05, 8.84, 3.83, 7.14, 6.11
(order as listed above)
Summary of final energy in eV per atom
-8.75, -6.17, -6.51, -4.24, -3.39, -4.90, -4.83, -4.60, -4.78, -4.00, -2.28, -5.55
(order as listed above)